Record 1
Computed, not measured: Li2MnP after structural relaxation at the PBE level of DFT.

Calculated values
ΔE_f: -0.087 eV/atom

Cell lengths 9.564, 9.564, 9.564 Å; angles 158.82, 158.82, 30.13 degrees
Fractional positions:
Li1 0.103 0.625 0.978
Li2 0.375 0.353 0.478
Li3 0.647 0.125 0.022
Li4 0.875 0.897 0.522
Mn1 0.250 0.750 0.500
Mn2 0.500 0.500 0.000
P1 0.000 0.000 0.000
P2 0.750 0.250 0.500


Record 2
Computed, not measured: LiMnP2 after structural relaxation at the PBE level of DFT.

Calculated values
Excess energy over the best structure of this formula in the dataset: 0.00 kcal/mol of atoms
ΔE_f: -0.388 eV/atom

Cell lengths 2.750, 2.752, 6.796 Å; angles 90.00, 93.41, 90.00 degrees
Fractional positions:
Li1 0.000 0.000 0.000
Mn1 0.000 0.000 0.500
P1 0.474 0.500 0.295
P2 0.526 0.500 0.705


Record 3
Computed, not measured: Li2MnP after structural relaxation at the PBE level of DFT.

Calculated values
ΔE_f: -0.184 eV/atom

Cell lengths 4.965, 4.965, 4.965 Å; angles 138.79, 138.79, 59.69 degrees
Fractional positions:
Li1 0.250 0.750 0.500
Li2 0.750 0.250 0.500
Mn1 0.000 0.000 0.000
P1 0.500 0.500 0.000


What did we get for size of the total moment? Answer: 3.2; 0.0; 3.0 μB/f.u., in the order shown.
What did we get for density of states at the Fermi level? Answer: 2.85; 0.48; 2.60 states/eV/cell, in the order shown.
What did we get for ρ? Answer: 2.904; 4.005; 3.151 g cm⁻³, in the order shown.